Entry 1:
# Cd2Pt

A PBEsol-optimized structure of Cd2Pt (meta-GGA SCAN, Alexandria via LeMat-Bulk).

POSCAR file:
```
Cd2Pt
1.0
-3.025 -1.223 -3.262
1.511 -5.084 0.505
-6.059 -1.198 6.068
Cd Pt
8 4
direct
0.750 0.885 0.820 Cd
0.750 0.331 0.025 Cd
0.250 0.115 0.180 Cd
0.750 0.385 0.680 Cd
0.750 0.831 0.475 Cd
0.250 0.615 0.320 Cd
0.250 0.169 0.525 Cd
0.250 0.669 0.975 Cd
0.750 0.815 0.153 Pt
0.750 0.315 0.347 Pt
0.250 0.185 0.847 Pt
0.250 0.685 0.653 Pt
```

Properties
Spin magnetization: 0.0 μB/cell
Energy relative to the elements: -290 meV/atom
Calculated total energy: -43.964 eV per atom
SG: Pnma, No. 62



Entry 2:
# Cd2Pt

A PBEsol-optimized structure of Cd2Pt (meta-GGA SCAN, Alexandria via LeMat-Bulk).

POSCAR file:
```
Cd2Pt
1.0
2.939 0.000 0.000
0.000 7.928 0.000
0.000 -3.964 6.866
Cd Pt
6 3
direct
0.000 0.000 0.297 Cd
0.000 0.297 0.000 Cd
0.500 0.627 0.000 Cd
0.500 0.000 0.627 Cd
0.500 0.373 0.373 Cd
0.000 0.703 0.703 Cd
0.000 0.333 0.667 Pt
0.500 0.000 0.000 Pt
0.000 0.667 0.333 Pt
```

Properties
Spin magnetization: 0.0 μB/cell
Energy relative to the elements: -295 meV/atom
Calculated total energy: -43.968 eV per atom
SG: P-62m, No. 189



Entry 3:
# CdPt2

A PBEsol-optimized structure of CdPt2 (meta-GGA SCAN, Alexandria via LeMat-Bulk).

POSCAR file:
```
CdPt2
1.0
3.997 0.000 0.000
0.000 3.997 0.000
-1.998 -1.998 12.038
Pt Cd
8 4
direct
0.999 0.499 0.999 Pt
0.832 0.332 0.665 Pt
0.251 0.251 0.501 Pt
0.501 0.001 0.001 Pt
0.418 0.418 0.835 Pt
0.749 0.749 0.499 Pt
0.582 0.582 0.165 Pt
0.668 0.168 0.335 Pt
0.082 0.082 0.164 Cd
0.332 0.832 0.664 Cd
0.168 0.668 0.336 Cd
0.918 0.918 0.836 Cd
```

Properties
Spin magnetization: 0.0 μB/cell
Energy relative to the elements: -253 meV/atom
Calculated total energy: -57.187 eV per atom
SG: I4_1/amd, No. 141



Entry 4:
# CdPt2

A PBEsol-optimized structure of CdPt2 (meta-GGA SCAN, Alexandria via LeMat-Bulk).

POSCAR file:
```
CdPt2
1.0
-0.237 2.611 -1.035
1.608 -1.422 -3.957
-4.431 -0.089 0.792
Pt Cd
2 1
direct
0.000 0.667 0.333 Pt
0.000 0.333 0.667 Pt
0.500 0.000 0.000 Cd
```

Properties
Spin magnetization: 0.0 μB/cell
Energy relative to the elements: -189 meV/atom
Calculated total energy: -57.122 eV per atom
SG: P6/mmm, No. 191



Entry 5:
# CdPt2

A PBEsol-optimized structure of CdPt2 (meta-GGA SCAN, Alexandria via LeMat-Bulk).

POSCAR file:
```
CdPt2
1.0
-2.764 3.912 1.859
-1.129 -4.770 1.540
4.789 0.841 1.660
Cd Pt
2 4
direct
0.250 0.250 0.000 Cd
0.750 0.750 0.000 Cd
0.355 0.855 0.211 Pt
0.855 0.645 0.500 Pt
0.645 0.145 0.789 Pt
0.145 0.355 0.500 Pt
```

Properties
Spin magnetization: 0.0 μB/cell
Energy relative to the elements: 254 meV/atom
Calculated total energy: -56.680 eV per atom
SG: I4/mcm, No. 140



Entry 6:
# CdPt2

A PBEsol-optimized structure of CdPt2 (meta-GGA SCAN, Alexandria via LeMat-Bulk).

POSCAR file:
```
CdPt2
1.0
-2.407 0.213 1.453
1.648 -5.146 0.750
3.172 3.581 4.730
Pt Cd
4 2
direct
0.719 0.438 0.943 Pt
0.331 0.662 0.668 Pt
0.394 0.789 0.279 Pt
0.052 0.105 0.610 Pt
0.674 0.348 0.341 Cd
0.996 0.992 0.993 Cd
```

Properties
Spin magnetization: 0.0 μB/cell
Energy relative to the elements: -171 meV/atom
Calculated total energy: -57.105 eV per atom
SG: Cm, No. 8



Entry 7:
# Cd2Pt

A PBEsol-optimized structure of Cd2Pt (meta-GGA SCAN, Alexandria via LeMat-Bulk).

POSCAR file:
```
Cd2Pt
1.0
2.933 0.000 0.000
0.000 4.080 0.000
-1.466 -2.040 4.393
Pt Cd
1 2
direct
0.500 0.500 0.000 Pt
0.838 0.838 0.676 Cd
0.162 0.162 0.324 Cd
```

Properties
Spin magnetization: 0.0 μB/cell
Energy relative to the elements: -273 meV/atom
Calculated total energy: -43.947 eV per atom
SG: Immm, No. 71



Entry 8:
# Cd2Pt

A PBEsol-optimized structure of Cd2Pt (meta-GGA SCAN, Alexandria via LeMat-Bulk).

POSCAR file:
```
Cd2Pt
1.0
-0.366 3.695 3.012
2.268 -2.713 3.604
5.026 0.115 0.469
Pt Cd
2 4
direct
0.250 0.824 0.176 Pt
0.750 0.176 0.824 Pt
0.250 0.480 0.843 Cd
0.250 0.157 0.520 Cd
0.750 0.520 0.157 Cd
0.750 0.843 0.480 Cd
```

Properties
Spin magnetization: 0.0 μB/cell
Energy relative to the elements: -252 meV/atom
Calculated total energy: -43.926 eV per atom
SG: Cmcm, No. 63